# 1
## Ta4CrCl (SCAN)

Data for a PBEsol-optimized structure of Ta4CrCl.

Computed properties:
Magnetization in μB per formula unit: 3.7
Formation energy (no corrections) in eV/atom: 0.8649

a b c (Å): 5.423 5.423 5.423
angles (deg): 60.00 60.00 60.00
Each line ends with the local moment (μB).
Fractional positions:
Ta 0.373 0.880 0.373  -0.08
Ta 0.373 0.373 0.880  -0.08
Ta 0.880 0.373 0.373  -0.08
Ta 0.373 0.373 0.373  -0.08
Cr 0.000 0.000 0.000  3.62
Cl 0.750 0.750 0.750  0.05

# 2
## MgSeS3 (SCAN)

Data for a PBEsol-optimized structure of MgSeS3.

Computed properties:
Magnetization in μB per formula unit: 0.0
Formation energy (no corrections) in eV/atom: 0.2000

a b c (Å): 4.712 4.712 4.712
angles (deg): 90.00 90.00 90.00
Fractional positions:
S 0.000 0.500 0.000
S 0.500 0.000 0.000
S 0.000 0.000 0.500
Mg 0.500 0.500 0.500
Se 0.000 0.000 0.000

# 3
## LiSnO3 (SCAN)

Data for a PBEsol-optimized structure of LiSnO3.

Computed properties:
Magnetization in μB per formula unit: 1.0
Formation energy (no corrections) in eV/atom: -1.2647

a b c (Å): 4.029 4.029 4.029
angles (deg): 90.00 90.00 90.00
Each line ends with the local moment (μB).
Fractional positions:
O 0.500 0.000 0.000  0.31
O 0.000 0.500 0.000  0.31
O 0.000 0.000 0.500  0.31
Li 0.500 0.500 0.500  0.00
Sn 0.000 0.000 0.000  -0.05